# 1
Crystalline CoNiP2 at its relaxed geometry. Source: the Alexandria database, functional PBE.

Cell: 4.0132 4.0132 4.0132 Å, 60.00 60.00 60.00°
Fractional coordinates of all 4 atoms:
1 Co 0.0000 0.0000 0.0000
2 P 0.2500 0.2500 0.2500
3 P 0.7500 0.7500 0.7500
4 Ni 0.5000 0.5000 0.5000

Output
**Formation enthalpy at 0 K**: -39 meV per atom
**Energy relative to the lowest polymorph listed for this composition**: 305 meV per atom

***

# 2
Crystalline ReSb2Br at its relaxed geometry. Source: the Alexandria database, functional PBE.

Cell: 4.9370 4.9370 4.9370 Å, 60.00 60.00 60.00°
Fractional coordinates of all 4 atoms:
1 Re 0.7500 0.7500 0.7500
2 Sb 0.2500 0.2500 0.2500
3 Sb 0.0000 0.0000 0.0000
4 Br 0.5000 0.5000 0.5000

Output
**ΔE_f (raw)**: 92.91 kJ/mol of atoms
**Energy relative to the lowest polymorph listed for this composition**: 749 meV per atom

***

# 3
Crystalline AlSbCl2 at its relaxed geometry. Source: the Alexandria database, functional PBE.

Cell: 3.9866 3.9898 8.3166 Å, 90.00 90.00 90.00°
Fractional coordinates of all 4 atoms:
1 Al 0.5000 0.5000 0.6712
2 Cl 0.5000 0.5000 0.9268
3 Cl 0.0000 0.0000 0.3090
4 Sb 0.0000 0.0000 0.5930

Output
**ΔE_f (raw)**: -57.35 kJ/mol of atoms
**Energy relative to the lowest polymorph listed for this composition**: 52 meV per atom

***

# 4
Crystalline LaMg3Al at its relaxed geometry. Source: the Alexandria database, functional PBE.

Cell: 5.1881 5.1881 5.1881 Å, 90.00 90.00 90.00°
Fractional coordinates of all 5 atoms:
1 Mg 0.5000 0.0000 0.0000
2 Mg 0.0000 0.5000 0.0000
3 Mg 0.0000 0.0000 0.5000
4 Al 0.0000 0.0000 0.0000
5 La 0.5000 0.5000 0.5000

Output
**Formation enthalpy at 0 K**: 214 meV per atom
**Energy relative to the lowest polymorph listed for this composition**: 0 meV per atom

***

# 5
Crystalline BaSbAu2 at its relaxed geometry. Source: the Alexandria database, functional PBE.

Cell: 4.9498 5.0957 6.7179 Å, 39.92 90.00 90.00°
Fractional coordinates of all 4 atoms:
1 Sb 0.0000 0.0000 0.5000
2 Ba 0.5000 0.5000 0.5000
3 Au 0.0000 0.0000 0.0000
4 Au 0.5000 0.5000 0.0000

Output
**ΔE_f (raw)**: -33.86 kJ/mol of atoms

***

# 6
Crystalline YPaZnHg at its relaxed geometry. Source: the Alexandria database, functional PBE.

Cell: 5.1811 5.1811 5.1811 Å, 60.00 60.00 60.00°
Each line ends with the local moment (μB).
Fractional coordinates of all 4 atoms:
1 Zn 0.7500 0.7500 0.7500  0.03
2 Hg 0.2500 0.2500 0.2500  0.02
3 Y 0.0000 0.0000 0.0000  0.27
4 Pa 0.5000 0.5000 0.5000  1.01

Output
**Formation enthalpy at 0 K**: -13 meV per atom

***

# 7
Crystalline Ga2SnB at its relaxed geometry. Source: the Alexandria database, functional PBE.

Cell: 5.2830 5.4372 5.7253 Å, 86.48 79.31 66.50°
Fractional coordinates of all 8 atoms:
1 Ga 0.2913 0.9688 0.3930
2 Ga 0.8354 0.2409 0.8991
3 Ga 0.6335 0.8161 0.9899
4 Ga 0.7060 0.2240 0.3711
5 Sn 0.9988 0.5899 0.3837
6 Sn 0.2386 0.6168 0.8556
7 B 0.2745 0.0450 0.7670
8 B 0.5222 0.1681 0.7361

Output
**Formation enthalpy at 0 K**: 300 meV per atom
**Energy relative to the lowest polymorph listed for this composition**: 43 meV per atom

***

# 8
Crystalline Zr3Pd8 at its relaxed geometry. Source: the Alexandria database, functional PBE.

Cell: 6.0074 6.0074 6.0074 Å, 96.07 96.07 96.07°
Fractional coordinates of all 11 atoms:
1 Zr 0.0000 0.5000 0.5000
2 Zr 0.5000 0.0000 0.5000
3 Zr 0.5000 0.5000 0.0000
4 Pd 0.6419 0.6419 0.6419
5 Pd 0.0849 0.9289 0.3178
6 Pd 0.9289 0.3178 0.0849
7 Pd 0.3581 0.3581 0.3581
8 Pd 0.0711 0.6822 0.9151
9 Pd 0.6822 0.9151 0.0711
10 Pd 0.9151 0.0711 0.6822
11 Pd 0.3178 0.0849 0.9289

Output
**Formation enthalpy at 0 K**: -161 meV per atom

***

# 9
Crystalline KCuP2 at its relaxed geometry. Source: the Alexandria database, functional PBE.

Cell: 5.0106 5.0106 6.2219 Å, 67.89 67.89 38.35°
Fractional coordinates of all 4 atoms:
1 P 0.0470 0.0470 0.8344
2 P 0.4530 0.4530 0.6656
3 Cu 0.7500 0.7500 0.7500
4 K 0.2500 0.2500 0.2500

Output
**Formation enthalpy at 0 K**: -13 meV per atom
**Energy relative to the lowest polymorph listed for this composition**: 121 meV per atom

***

# 10
Crystalline Te2AsRu at its relaxed geometry. Source: the Alexandria database, functional PBE.

Cell: 6.6118 6.6119 6.4547 Å, 131.64 131.64 90.45°
Fractional coordinates of all 4 atoms:
1 Te 0.0574 0.9426 0.0000
2 Te 0.2565 0.7434 0.5000
3 As 0.4273 0.5728 0.0000
4 Ru 0.7588 0.2412 0.5000

Output
**ΔE_f (raw)**: -0.87 kJ/mol of atoms

***

# 11
Crystalline HgPtF3 at its relaxed geometry. Source: the Alexandria database, functional PBE.

Cell: 4.3182 4.3182 4.3182 Å, 90.00 90.00 90.00°
Fractional coordinates of all 5 atoms:
1 F 0.0000 0.5000 0.0000
2 F 0.5000 0.0000 0.0000
3 F 0.0000 0.0000 0.5000
4 Hg 0.5000 0.5000 0.5000
5 Pt 0.0000 0.0000 0.0000

Output
**ΔE_f (raw)**: -73.00 kJ/mol of atoms
**Energy relative to the lowest polymorph listed for this composition**: 0 meV per atom

***

# 12
Crystalline Ho4ErHg2 at its relaxed geometry. Source: the Alexandria database, functional PBE.

Cell: 5.0469 5.0469 10.4139 Å, 75.98 75.98 60.00°
Fractional coordinates of all 7 atoms:
1 Ho 0.7035 0.7035 0.8895
2 Ho 0.8925 0.8925 0.3225
3 Ho 0.1075 0.1075 0.6775
4 Ho 0.2965 0.2965 0.1105
5 Hg 0.3993 0.3993 0.8021
6 Hg 0.6007 0.6007 0.1979
7 Er 0.5000 0.5000 0.5000

Output
**Formation enthalpy at 0 K**: 33 meV per atom